Record 1
Nd4GeRhCl2 | PBE-GGA | optimized geometry

Cell: 4.131 7.453 7.524 Å, 72.23 90.00 90.00°
Sites, in units of the cell vectors:
Nd (0.000, 0.713, 0.773)
Nd (0.000, 0.287, 0.227)
Nd (0.500, 0.720, 0.249)
Nd (0.500, 0.280, 0.751)
Ge (0.000, 0.500, 0.500)
Rh (0.500, 0.500, 0.000)
Cl (0.000, 0.000, 0.000)
Cl (0.500, 0.000, 0.500)

Results
Total moment = 0.00 μB per formula unit
Symmetry = P2/m
Raw formation energy = -26.584 kcal/mol of atoms


Record 2
NaSrAlH6 | PBE-GGA | optimized geometry

Cell: 5.262 5.262 4.832 Å, 90.00 90.00 59.99°
Sites, in units of the cell vectors:
Na (0.667, 0.667, 0.500)
Sr (0.000, 0.000, 0.000)
Al (0.333, 0.333, 0.500)
H (0.058, 0.340, 0.288)
H (0.340, 0.058, 0.712)
H (0.602, 0.340, 0.712)
H (0.058, 0.602, 0.712)
H (0.340, 0.602, 0.288)
H (0.602, 0.058, 0.288)

Results
Total moment = 0.00 μB per formula unit
Symmetry = P312
E_tot = -3.24 eV per atom